1.
Here is a geometry-optimized ScTlBr2 structure from the Alexandria database. Energies are from PBE.

Cell and atoms, written as POSCAR:
```
ScTlBr2
1.0
6.7355 0.0000 0.0000
0.0000 6.7355 0.0000
3.3678 3.3678 7.1276
Br Sc Tl
4 2 2
Cartesian
8.4194 7.6460 5.3457
5.0516 5.8251 5.3457
4.2782 1.6839 1.7819
2.4573 5.0516 1.7819
3.3678 6.7355 3.5638
3.3678 3.3678 0.0000
0.0000 0.0000 0.0000
6.7355 3.3678 3.5638
```

Properties
The calculation puts the density of states at the Fermi level at 1.78 states/eV per atom. For the uncorrected formation energy, the calculation gives -0.619 eV per atom. The energy above the most stable polymorph in this dataset is 0.417 eV/atom.

---

2.
Here is a geometry-optimized CaAcSm2Tl4 structure from the Alexandria database. Energies are from PBE.

Cell and atoms, written as POSCAR:
```
CaAcSm2Tl4
1.0
5.5555 0.0000 0.0000
2.7778 4.8112 0.0000
2.7778 1.6037 9.2430
Tl Sm Ac Ca
4 2 1 1
Cartesian
8.3333 4.8112 3.5116
2.7777 1.6037 5.7314
5.5555 3.2075 8.0111
5.5555 3.2075 1.2319
2.7778 1.6037 2.4454
8.3333 4.8112 6.7976
0.0000 0.0000 0.0000
5.5555 3.2075 4.6215
```

Properties
The calculation puts the density of states at the Fermi level at 0.82 states/eV per atom. For the formation energy, the calculation gives -0.3637 eV per atom.